[1]
Entry from Alexandria via LeMat-Bulk: a geometry-optimized YBSb2N structure (PBE).

Output
As for the energy relative to the elements, uncorrected: 23 meV/atom. The value obtained for the spin magnetization is 0.000 μB/atom. Its density of states at the Fermi level is 0.538 states/eV/atom. The total DFT energy (no corrections) comes out at -0.435 Ry per atom. As for the symmetry: P4/mmm, No. 123.

a b c (Å): 6.0962 2.8144 6.0962
angles (deg): 90.00 90.00 90.00
Closest atoms and distances in Å follow each position.
Fractional positions:
B 0.0000 0.5000 0.0000  2 N 1.41
N 0.0000 0.0000 0.0000  2 B 1.41
Sb 0.5000 0.0000 0.0000  2 Sb 2.81, 2 N 3.05
Sb 0.0000 0.0000 0.5000  2 Sb 2.81, 2 N 3.05
Y 0.5000 0.5000 0.5000  2 Y 2.81



[2]
Entry from Alexandria via LeMat-Bulk: a geometry-optimized LiTmZn2Au4 structure (PBE).

Output
The value obtained for the spin magnetization is 0.000 μB/atom. The energy relative to the elements comes out at -0.528 eV per atom. Its density of states at the Fermi level is 0.422 states/eV/atom. The total DFT energy (no corrections) comes out at -0.241 Ry per atom. As for the symmetry: R-3m, No. 166.

a b c (Å): 4.5377 4.5377 8.3920
angles (deg): 74.31 74.31 60.00
Closest atoms and distances in Å follow each position.
Fractional positions:
Li 0.5000 0.5000 0.5000  8 Au 2.61-2.77
Zn 0.7544 0.7544 0.7367  7 Au 2.72-2.80
Zn 0.2456 0.2456 0.2633  7 Au 2.72-2.80
Au 0.8716 0.8716 0.3853  3 Li 2.77, 4 Zn 2.79-2.80, 1 Tm 3.07
Au 0.6092 0.6092 0.1723  1 Li 2.61, 3 Zn 2.72
Au 0.3908 0.3908 0.8277  1 Li 2.61, 3 Zn 2.72
Au 0.1284 0.1284 0.6147  3 Li 2.77, 4 Zn 2.79-2.80, 1 Tm 3.07
Tm 0.0000 0.0000 0.0000  8 Au 2.96-3.07



[3]
Entry from Alexandria via LeMat-Bulk: a geometry-optimized TaMo2Ir structure (PBE).

Output
The value obtained for the spin magnetization is 0.000 μB/atom. The energy relative to the elements comes out at -0.138 eV per atom. The energy above the lowest structure with this stoichiometry is 0.0159 eV/atom. Its density of states at the Fermi level is 0.876 states/eV/atom. The total DFT energy (no corrections) comes out at -0.789 Ry per atom. As for the symmetry: Immm, No. 71.

a b c (Å): 5.2217 5.2217 5.2217
angles (deg): 142.40 131.24 63.16
Closest atoms and distances in Å follow each position.
Fractional positions:
Ir 0.2500 0.7500 0.5000  4 Ta 2.73, 8 Mo 2.85-3.05
Mo 0.9921 0.9921 0.0000  2 Ta 2.73, 4 Mo 2.74, 4 Ir 2.85-3.05
Mo 0.5079 0.5079 0.0000  2 Ta 2.73, 4 Mo 2.74, 4 Ir 2.85-3.05
Ta 0.7500 0.2500 0.5000  4 Mo 2.73, 4 Ir 2.73



[4]
Entry from Alexandria via LeMat-Bulk: a geometry-optimized MnAl2Fe2 structure (PBE).

Output
The value obtained for the spin magnetization is 0.484 μB/atom. The energy relative to the elements comes out at -0.019 eV per atom. The energy above the lowest structure with this stoichiometry is 0.0542 eV/atom. Its density of states at the Fermi level is 1.200 states/eV/atom. The total DFT energy (no corrections) comes out at -0.495 Ry per atom. As for the symmetry: P4/mbm, No. 127.

a b c (Å): 5.8809 5.8809 3.7517
angles (deg): 90.00 90.00 90.00
Closest atoms and distances in Å follow each position.
Fractional positions:
Mn 0.5000 0.5000 0.0000  4 Fe 2.31
Mn 0.0000 0.0000 0.0000  4 Fe 2.31
Fe 0.8717 0.6283 0.0000  1 Fe 2.13, 2 Mn 2.31
Fe 0.3717 0.8717 0.0000  1 Fe 2.13, 2 Mn 2.31
Fe 0.1283 0.3717 0.0000  1 Fe 2.13, 2 Mn 2.31
Fe 0.6283 0.1283 0.0000  1 Fe 2.13, 2 Mn 2.31
Al 0.3255 0.1745 0.5000  6 Fe 2.49-2.60
Al 0.8255 0.3255 0.5000  6 Fe 2.49-2.60
Al 0.6745 0.8255 0.5000  6 Fe 2.49-2.60
Al 0.1745 0.6745 0.5000  6 Fe 2.49-2.60



[5]
Entry from Alexandria via LeMat-Bulk: a geometry-optimized Zn4Cu3Au5 structure (PBE).

Output
The value obtained for the spin magnetization is 0.000 μB/atom. The energy relative to the elements comes out at 0.027 eV per atom. Its density of states at the Fermi level is 0.308 states/eV/atom. The total DFT energy (no corrections) comes out at -0.205 Ry per atom. As for the symmetry: C2/m, No. 12.

a b c (Å): 4.7850 7.4347 6.7600
angles (deg): 83.85 69.27 71.23
Closest atoms and distances in Å follow each position.
Fractional positions:
Au 0.5000 0.5000 0.5000  4 Cu 2.39-2.62, 2 Zn 2.64
Au 0.8287 0.8697 0.4729  2 Zn 2.60-2.65, 4 Cu 2.61-2.69, 1 Au 2.90
Au 0.1713 0.1303 0.5271  2 Zn 2.60-2.65, 4 Cu 2.61-2.69, 1 Au 2.90
Au 0.6954 0.7127 0.8965  1 Cu 2.57, 5 Zn 2.70-2.77
Au 0.3046 0.2873 0.1035  1 Cu 2.57, 5 Zn 2.70-2.77
Zn 0.2272 0.8128 0.7329  4 Au 2.60-2.70, 1 Zn 2.61, 1 Cu 2.83
Zn 0.1071 0.6720 0.1138  1 Zn 2.61, 4 Au 2.65-2.77, 3 Cu 2.73-2.82
Zn 0.7728 0.1872 0.2671  4 Au 2.60-2.70, 1 Zn 2.61, 1 Cu 2.83
Zn 0.8929 0.3280 0.8862  1 Zn 2.61, 4 Au 2.65-2.77, 3 Cu 2.73-2.82
Cu 0.4481 0.8179 0.2858  5 Au 2.57-2.69, 3 Zn 2.82-2.83
Cu 0.0000 0.5000 0.5000  4 Au 2.39-2.61
Cu 0.5519 0.1821 0.7142  5 Au 2.57-2.69, 3 Zn 2.82-2.83



[6]
Entry from Alexandria via LeMat-Bulk: a geometry-optimized SrNiIr2 structure (PBE).

Output
The value obtained for the spin magnetization is 0.000 μB/atom. The energy relative to the elements comes out at 0.285 eV per atom. The energy above the lowest structure with this stoichiometry is 0.0866 eV/atom. Its density of states at the Fermi level is 1.066 states/eV/atom. The total DFT energy (no corrections) comes out at -0.442 Ry per atom. As for the symmetry: P4/mmm, No. 123.

a b c (Å): 2.9568 2.9568 7.8048
angles (deg): 90.00 90.00 90.00
Closest atoms and distances in Å follow each position.
Fractional positions:
Ni 0.5000 0.5000 0.2500  8 Ir 2.56
Ir 0.0000 0.0000 0.0608  4 Ni 2.56
Ir 0.0000 0.0000 0.4392  4 Ni 2.56
Sr 0.5000 0.5000 0.7500  4 Sr 2.96, 8 Ir 3.20



[7]
Entry from Alexandria via LeMat-Bulk: a geometry-optimized Sr5Tl2Pb5 structure (PBE).

Output
The value obtained for the spin magnetization is 0.000 μB/atom. The energy relative to the elements comes out at -0.432 eV per atom. Its density of states at the Fermi level is 0.312 states/eV/atom. The total DFT energy (no corrections) comes out at -0.226 Ry per atom. As for the symmetry: C2/m, No. 12.

a b c (Å): 5.1560 9.6255 9.6514
angles (deg): 69.67 74.51 74.46
Closest atoms and distances in Å follow each position.
Fractional positions:
Sr 0.3602 0.3339 0.9457  5 Pb 3.52-3.91, 1 Tl 3.70
Sr 0.3583 0.9478 0.3356  5 Pb 3.50-3.92, 1 Tl 3.70
Sr 0.5000 0.5000 0.5000  4 Pb 3.43, 4 Tl 3.49
Sr 0.6398 0.6661 0.0543  5 Pb 3.52-3.91, 1 Tl 3.70
Sr 0.6417 0.0522 0.6644  5 Pb 3.50-3.92, 1 Tl 3.70
Tl 0.1570 0.3456 0.3403  4 Pb 3.12-3.26, 2 Sr 3.49
Tl 0.8430 0.6544 0.6597  4 Pb 3.12-3.26, 2 Sr 3.49
Pb 0.0016 0.2936 0.7032  2 Tl 3.25-3.26, 1 Pb 3.25, 6 Sr 3.43-3.52
Pb 0.9984 0.7064 0.2968  2 Tl 3.25-3.26, 1 Pb 3.25, 6 Sr 3.43-3.52
Pb 0.0000 0.0000 0.0000  4 Pb 3.25-3.38
Pb 0.7739 0.2265 0.2256  2 Tl 3.12, 1 Pb 3.38
Pb 0.2261 0.7735 0.7744  2 Tl 3.12, 1 Pb 3.38



[8]
Entry from Alexandria via LeMat-Bulk: a geometry-optimized Ta2ZnW structure (PBE).

Output
The value obtained for the spin magnetization is 0.000 μB/atom. The energy relative to the elements comes out at 0.248 eV per atom. Its density of states at the Fermi level is 0.715 states/eV/atom. The total DFT energy (no corrections) comes out at -0.679 Ry per atom. As for the symmetry: R-3m, No. 166.

a b c (Å): 9.9229 9.9229 9.9229
angles (deg): 16.51 16.51 16.51
Closest atoms and distances in Å follow each position.
Fractional positions:
Ta 0.4982 0.4982 0.4982  6 Ta 2.85, 3 Zn 2.90, 3 W 2.99
Ta 0.0018 0.0018 0.0018  6 Ta 2.85, 3 Zn 2.90, 3 W 2.99
W 0.2500 0.2500 0.2500  6 W 2.85, 6 Ta 2.99
Zn 0.7500 0.7500 0.7500  6 Zn 2.85, 6 Ta 2.90



[9]
Entry from Alexandria via LeMat-Bulk: a geometry-optimized BaHgSb4 structure (PBE).

Output
As for the energy relative to the elements, uncorrected: -315 meV/atom. The value obtained for the spin magnetization is 0.000 μB/atom. Its density of states at the Fermi level is 0.118 states/eV/atom. The total DFT energy (no corrections) comes out at -0.252 Ry per atom. As for the symmetry: F-43m, No. 216.

a b c (Å): 6.4683 6.4683 6.4683
angles (deg): 60.00 60.00 60.00
Closest atoms and distances in Å follow each position.
Fractional positions:
Ba 0.2500 0.2500 0.2500  12 Sb 3.80, 4 Hg 3.96
Hg 0.0000 0.0000 0.0000  12 Sb 3.79, 4 Ba 3.96
Sb 0.6271 0.6271 0.6271  6 Sb 3.18-3.29
Sb 0.6271 0.6271 0.1188  6 Sb 3.18-3.29
Sb 0.1188 0.6271 0.6271  6 Sb 3.18-3.29
Sb 0.6271 0.1188 0.6271  6 Sb 3.18-3.29



[10]
Entry from Alexandria via LeMat-Bulk: a geometry-optimized Ba2InTePd structure (PBE).

Output
As for the energy relative to the elements, uncorrected: -810 meV/atom. The value obtained for the spin magnetization is 0.000 μB/atom. Its density of states at the Fermi level is 0.549 states/eV/atom. The total DFT energy (no corrections) comes out at -0.279 Ry per atom. As for the symmetry: P4/mmm, No. 123.

a b c (Å): 6.1135 6.1135 5.1292
angles (deg): 90.00 90.00 90.00
Closest atoms and distances in Å follow each position.
Fractional positions:
Ba 0.0000 0.5000 0.0000  2 Pd 3.06
Ba 0.5000 0.0000 0.0000  2 Pd 3.06
Te 0.5000 0.5000 0.5000  8 Ba 3.99, 4 In 4.32
Pd 0.0000 0.0000 0.0000  2 In 2.56
In 0.0000 0.0000 0.5000  2 Pd 2.56



[11]
Entry from Alexandria via LeMat-Bulk: a geometry-optimized Ca2EuSi structure (PBE).

Output
As for the energy relative to the elements, uncorrected: -36 meV/atom. The value obtained for the spin magnetization is 1.841 μB/atom. Its density of states at the Fermi level is 0.622 states/eV/atom. The total DFT energy (no corrections) comes out at -0.365 Ry per atom. As for the symmetry: R-3m, No. 166.

a b c (Å): 4.6915 4.6915 8.5344
angles (deg): 74.05 74.05 60.00
Closest atoms and distances in Å follow each position.
Fractional positions:
Ca 0.2851 0.2851 0.1446  3 Si 2.95
Ca 0.7149 0.7149 0.8554  3 Si 2.95
Si 0.0000 0.0000 0.0000  6 Ca 2.95
Eu 0.5000 0.5000 0.5000  6 Ca 3.95



[12]
Entry from Alexandria via LeMat-Bulk: a geometry-optimized PmY3Ho4S8 structure (PBE).

Output
As for the energy relative to the elements, uncorrected: -1985 meV/atom. The value obtained for the spin magnetization is 0.000 μB/atom. Its density of states at the Fermi level is 0.558 states/eV/atom. The total DFT energy (no corrections) comes out at -0.493 Ry per atom. As for the symmetry: R-3m, No. 166.

a b c (Å): 7.8300 7.8394 7.8302
angles (deg): 119.96 120.00 90.00
Closest atoms and distances in Å follow each position.
Fractional positions:
Ho 0.0000 0.0000 0.5000  6 S 2.76
Ho 0.5000 0.0000 0.0000  6 S 2.72
Ho 0.5000 0.0000 0.5000  6 S 2.76
Ho 0.0000 0.0000 0.0000  6 S 2.76
Y 0.5000 0.5000 0.0000  6 S 2.78
Y 0.0000 0.5000 0.5000  6 S 2.78
Y 0.5000 0.5000 0.5000  6 S 2.78
S 0.7452 0.2427 0.9976  3 Ho 2.72-2.76, 2 Y 2.78, 1 Pm 2.82
S 0.7475 0.7573 0.0024  3 Ho 2.72-2.76, 2 Y 2.78, 1 Pm 2.82
S 0.2548 0.7573 0.0024  3 Ho 2.72-2.76, 2 Y 2.78, 1 Pm 2.82
S 0.2488 0.2464 0.4977  3 Ho 2.76, 3 Y 2.78
S 0.2525 0.2427 0.9976  3 Ho 2.72-2.76, 2 Y 2.78, 1 Pm 2.82
S 0.2549 0.7572 0.5097  3 Ho 2.72-2.76, 2 Y 2.78, 1 Pm 2.82
S 0.7512 0.7536 0.5023  3 Ho 2.76, 3 Y 2.78
S 0.7451 0.2428 0.4903  3 Ho 2.72-2.76, 2 Y 2.78, 1 Pm 2.82
Pm 0.0000 0.5000 0.0000  6 S 2.82